Record 1
CdAgSeO: relaxed, PBE.

abc: 3.7626 3.7626 12.5218
angles: 90.00 90.00 120.00
With the nearest neighbours (Å) after each atom.
Sites, in units of the cell vectors:
Ag (0.3333, 0.6667, 0.2567)  3 O 2.32
Ag (0.6667, 0.3333, 0.7567)  3 O 2.32
Cd (0.0000, 0.0000, 0.4886)  1 O 2.09
Cd (0.0000, 0.0000, 0.9886)  1 O 2.09
O (0.0000, 0.0000, 0.3221)  1 Cd 2.09, 3 Ag 2.32
O (0.0000, 0.0000, 0.8221)  1 Cd 2.09, 3 Ag 2.32
Se (0.6667, 0.3333, 0.1203)  3 Cd 2.73, 3 Ag 2.76
Se (0.3333, 0.6667, 0.6203)  3 Cd 2.73, 3 Ag 2.76

Calculated values
**SG**: P6_3mc
**VASP energy**: -3.2460 eV/atom
**Polymorph energy (0 for the lowest one)**: 17.6 kJ per mole of atoms

Record 2
CdAgSeO: relaxed, PBE.

abc: 6.2829 3.6648 12.7368
angles: 90.00 90.00 90.00
With the nearest neighbours (Å) after each atom.
Sites, in units of the cell vectors:
Ag (0.5614, 0.2500, 0.2482)  2 O 2.15-2.18
Ag (0.0614, 0.2500, 0.2518)  2 O 2.15-2.18
Ag (0.9386, 0.7500, 0.7482)  2 O 2.15-2.18
Ag (0.4386, 0.7500, 0.7518)  2 O 2.15-2.18
Cd (0.2493, 0.7500, 0.0395)  2 O 2.22
Cd (0.7493, 0.7500, 0.4605)  2 O 2.22
Cd (0.2507, 0.2500, 0.5395)  2 O 2.22
Cd (0.7507, 0.2500, 0.9605)  2 O 2.22
O (0.3111, 0.2500, 0.1328)  2 Ag 2.15-2.18, 2 Cd 2.22
O (0.8111, 0.2500, 0.3672)  2 Ag 2.15-2.18, 2 Cd 2.22
O (0.1889, 0.7500, 0.6328)  2 Ag 2.15-2.18, 2 Cd 2.22
O (0.6889, 0.7500, 0.8672)  2 Ag 2.15-2.18, 2 Cd 2.22
Se (0.8099, 0.7500, 0.1227)  3 Cd 2.79-2.96, 4 Ag 2.89-2.93
Se (0.3099, 0.7500, 0.3773)  3 Cd 2.79-2.96, 4 Ag 2.89-2.93
Se (0.6901, 0.2500, 0.6227)  3 Cd 2.79-2.96, 4 Ag 2.89-2.93
Se (0.1901, 0.2500, 0.8773)  3 Cd 2.79-2.96, 4 Ag 2.89-2.93

Calculated values
**SG**: Pnma
**VASP energy**: -3.3607 eV/atom
**Polymorph energy (0 for the lowest one)**: 6.6 kJ per mole of atoms

Record 3
CdAgSeO: relaxed, PBE.

abc: 6.1049 7.9205 6.2531
angles: 90.00 90.00 90.00
With the nearest neighbours (Å) after each atom.
Sites, in units of the cell vectors:
Ag (0.2122, 0.7268, 0.0140)  2 O 2.24-2.25
Ag (0.7878, 0.2268, 0.4860)  2 O 2.24-2.25
Ag (0.2878, 0.2732, 0.5140)  2 O 2.24-2.25
Ag (0.7122, 0.7732, 0.9860)  2 O 2.24-2.25
Cd (0.2440, 0.1639, 0.0189)  2 O 2.26
Cd (0.7560, 0.6639, 0.4811)  2 O 2.26
Cd (0.2560, 0.8361, 0.5189)  2 O 2.26
Cd (0.7440, 0.3361, 0.9811)  2 O 2.26
O (0.5193, 0.2385, 0.2401)  2 Ag 2.24-2.25, 2 Cd 2.26
O (0.4807, 0.7385, 0.2599)  2 Ag 2.24-2.25, 2 Cd 2.26
O (0.9807, 0.7615, 0.7401)  2 Ag 2.24-2.25, 2 Cd 2.26
O (0.0193, 0.2615, 0.7599)  2 Ag 2.24-2.25, 2 Cd 2.26
Se (0.9638, 0.9628, 0.2344)  3 Ag 2.65-2.83, 2 Cd 2.70-2.71
Se (0.0362, 0.4628, 0.2656)  3 Ag 2.65-2.83, 2 Cd 2.70-2.71
Se (0.5362, 0.0372, 0.7344)  3 Ag 2.65-2.83, 2 Cd 2.70-2.71
Se (0.4638, 0.5372, 0.7656)  3 Ag 2.65-2.83, 2 Cd 2.70-2.71

Calculated values
**SG**: P2_12_12_1
**VASP energy**: -3.2862 eV/atom
**Polymorph energy (0 for the lowest one)**: 13.8 kJ per mole of atoms

> Number 3 is which compound?

CdAgSeO

> What is the formula in the first record?

CdAgSeO